(1)
A relaxed KSbW crystal, computed with PBE-GGA.

## Properties
Energy above the lowest structure with this stoichiometry (meV per atom): 29

a = 3.3274 Å, b = 3.3274 Å, c = 7.9542 Å
α = 90.00°, β = 90.00°, γ = 120.00°
With the nearest neighbours (Å) after each atom.
Element x y z (fractional)
Sb1 0.3333 0.6667 0.3806  3 W 2.71
K1 0.0000 0.0000 0.9982  6 K 3.33, 3 W 3.56, 3 Sb 3.60
W1 0.6667 0.3333 0.6212  3 Sb 2.71

(2)
A relaxed KSbW crystal, computed with PBE-GGA.

## Properties
Energy above the lowest structure with this stoichiometry (meV per atom): 0

a = 6.9671 Å, b = 6.9671 Å, c = 6.9671 Å
α = 149.83°, β = 149.83°, γ = 43.19°
With the nearest neighbours (Å) after each atom.
Element x y z (fractional)
Sb1 0.2822 0.2822 0.0000  4 W 2.71
K1 0.0029 0.0029 0.0000  5 Sb 3.62-3.84, 4 K 3.63, 5 W 3.73-3.76
W1 0.7149 0.7149 0.0000  4 Sb 2.71

(3)
A relaxed KSb2W crystal, computed with PBE-GGA.

## Properties
Energy above the lowest structure with this stoichiometry (meV per atom): 793

a = 5.8741 Å, b = 5.8741 Å, c = 2.9946 Å
α = 90.00°, β = 90.00°, γ = 106.27°
With the nearest neighbours (Å) after each atom.
Element x y z (fractional)
W1 0.5000 0.0000 0.5000  2 W 2.99, 8 Sb 3.30
K1 0.0000 0.5000 0.5000  2 K 2.99, 8 Sb 3.30
Sb1 0.5000 0.5000 0.0000  2 Sb 2.99, 4 W 3.30, 4 K 3.30
Sb2 0.0000 0.0000 0.0000  2 Sb 2.99, 4 K 3.30, 4 W 3.30

(4)
A relaxed KSb2W crystal, computed with PBE-GGA.

## Properties
Energy above the lowest structure with this stoichiometry (meV per atom): 1110

a = 5.2076 Å, b = 5.2076 Å, c = 5.2076 Å
α = 60.00°, β = 60.00°, γ = 60.00°
With the nearest neighbours (Å) after each atom.
Element x y z (fractional)
W1 0.7500 0.7500 0.7500  4 K 3.19, 4 Sb 3.19
Sb1 0.2500 0.2500 0.2500  4 K 3.19, 4 Sb 3.19
Sb2 0.0000 0.0000 0.0000  4 W 3.19, 4 Sb 3.19
K1 0.5000 0.5000 0.5000  4 Sb 3.19, 4 W 3.19

(5)
A relaxed KSb2W crystal, computed with PBE-GGA.

## Properties
Energy above the lowest structure with this stoichiometry (meV per atom): 58

a = 3.6297 Å, b = 3.6297 Å, c = 9.6146 Å
α = 79.15°, β = 79.15°, γ = 60.03°
With the nearest neighbours (Å) after each atom.
Element x y z (fractional)
K1 0.7500 0.7500 0.7500  6 Sb 3.55-3.56, 6 K 3.63
W1 0.2500 0.2500 0.2500  6 Sb 2.77
Sb1 0.5190 0.5190 0.4438  3 W 2.77
Sb2 0.9810 0.9810 0.0562  3 W 2.77

(6)
A relaxed KSb2W crystal, computed with PBE-GGA.

## Properties
Energy above the lowest structure with this stoichiometry (meV per atom): 0

a = 3.3890 Å, b = 3.3635 Å, c = 9.3611 Å
α = 68.96°, β = 90.00°, γ = 90.00°
With the nearest neighbours (Å) after each atom.
Element x y z (fractional)
W1 0.5000 0.2500 0.2500  8 Sb 2.90
K1 0.5000 0.7500 0.7500  4 K 3.36-3.39, 8 Sb 3.62-3.63
Sb1 0.0000 0.5622 0.4378  4 W 2.90
Sb2 0.0000 0.9378 0.0622  4 W 2.90

(7)
A relaxed KSb2W crystal, computed with PBE-GGA.

## Properties
Energy above the lowest structure with this stoichiometry (meV per atom): 138

a = 9.1504 Å, b = 9.1504 Å, c = 9.1504 Å
α = 158.15°, β = 156.89°, γ = 32.02°
With the nearest neighbours (Å) after each atom.
Element x y z (fractional)
Sb1 0.9771 0.9771 0.0000  4 W 2.82
Sb2 0.6661 0.1661 0.5000  2 W 2.70
W1 0.5488 0.5488 0.0000  6 Sb 2.70-2.82
K1 0.3080 0.8080 0.5000  4 K 3.47-3.67, 6 Sb 3.49-3.55

(8)
A relaxed KSbW crystal, computed with PBE-GGA.

## Properties
Energy above the lowest structure with this stoichiometry (meV per atom): 10

a = 8.3203 Å, b = 8.1499 Å, c = 3.1203 Å
α = 82.17°, β = 76.02°, γ = 21.81°
With the nearest neighbours (Å) after each atom.
Element x y z (fractional)
K1 0.9967 0.9967 0.0033  4 K 3.12, 2 W 3.45
W1 0.3138 0.3138 0.6862  2 Sb 2.71
Sb1 0.6895 0.6895 0.3105  2 W 2.71

no.,formation energy (no corrections) (meV per atom)
1,855
2,826
3,889
4,1206
5,155
6,97
7,235
8,836